Record 1
A geometry-optimized AcHgSe2O6 structure. Source: the Alexandria database, functional PBE.

## Properties
The calculation puts the total moment at 0.87 μB per formula unit. As for the crystal system: trigonal. Its uncorrected formation energy is -131.8 kJ per mole of atoms.

Lattice parameters (Å, degrees): 5.767 5.767 7.393 67.04 67.04 60.00
Site moments in Bohr magnetons follow the coordinates.
Fractional coordinates of all 10 atoms:
Ac  0.500  0.500  0.500  0.01
Hg  0.000  0.000  0.000  0.33
Se  0.720  0.720  0.841  0.00
Se  0.280  0.280  0.159  0.00
O  0.041  0.501  0.728  0.06
O  0.731  0.041  0.728  0.06
O  0.499  0.269  0.272  0.06
O  0.959  0.499  0.272  0.06
O  0.269  0.959  0.272  0.06
O  0.501  0.731  0.728  0.06

---

Record 2
A geometry-optimized Re2PCl structure. Source: the Alexandria database, functional PBE.

## Properties
The value obtained for the energy above the most stable polymorph in this dataset is 0.554 eV/atom. The calculation puts the total moment at 0.00 μB per formula unit. As for the crystal system: monoclinic. Its uncorrected formation energy is 55.8 kJ per mole of atoms.

Lattice parameters (Å, degrees): 5.304 5.304 4.019 80.53 80.53 31.96
Fractional coordinates of all 4 atoms:
Cl  0.482  0.482  0.479
P  0.718  0.718  0.796
Re  0.020  0.020  0.992
Re  0.281  0.281  0.234

---

Record 3
A geometry-optimized Eu2TlIn structure. Source: the Alexandria database, functional PBE.

## Properties
Its formation enthalpy at 0 K is -1.1 eV/f.u. The calculation puts the total moment at 14.62 μB per formula unit. As for the crystal system: trigonal.

Lattice parameters (Å, degrees): 3.825 3.825 10.666 79.67 79.67 60.00
Site moments in Bohr magnetons follow the coordinates.
Fractional coordinates of all 4 atoms:
Eu  0.250  0.250  0.249  6.92
Eu  0.750  0.750  0.751  6.92
Tl  0.500  0.500  0.500  0.01
In  0.000  0.000  0.000  0.00

---

Record 4
A geometry-optimized BaSr6Ca5 structure. Source: the Alexandria database, functional PBE.

## Properties
Its formation enthalpy at 0 K is 0.3 eV/f.u. The value obtained for the energy above the most stable polymorph in this dataset is 0.005 eV/atom. The calculation puts the total moment at 0.00 μB per formula unit. As for the crystal system: monoclinic.

Lattice parameters (Å, degrees): 13.690 7.160 7.159 60.00 85.02 80.01
Fractional coordinates of all 12 atoms:
Ba  0.000  0.000  0.000
Sr  0.746  0.084  0.337
Sr  0.254  0.579  0.337
Sr  0.255  0.253  0.000
Sr  0.745  0.747  0.000
Sr  0.746  0.421  0.663
Sr  0.254  0.916  0.663
Ca  0.500  0.167  0.666
Ca  0.000  0.333  0.333
Ca  0.500  0.500  0.000
Ca  0.000  0.667  0.667
Ca  0.500  0.833  0.334

---

Record 5
A geometry-optimized Cr2NiOs structure. Source: the Alexandria database, functional PBE.

## Properties
Its formation enthalpy at 0 K is 0.7 eV/f.u. The calculation puts the total moment at 0.00 μB per formula unit. As for the crystal system: trigonal.

Lattice parameters (Å, degrees): 8.577 8.577 8.577 17.51 17.51 17.51
Fractional coordinates of all 4 atoms:
Cr  0.998  0.998  0.998
Cr  0.502  0.502  0.502
Ni  0.250  0.250  0.250
Os  0.750  0.750  0.750

---

Record 6
A geometry-optimized NbReHg3 structure. Source: the Alexandria database, functional PBE.

## Properties
Its formation enthalpy at 0 K is 7.9 eV/f.u. The value obtained for the energy above the most stable polymorph in this dataset is 0.000 eV/atom. The calculation puts the total moment at 2.21 μB per formula unit. As for the crystal system: cubic.

Lattice parameters (Å, degrees): 5.201 5.201 5.201 90.00 90.00 90.00
Site moments in Bohr magnetons follow the coordinates.
Fractional coordinates of all 5 atoms:
Re  0.000  0.000  0.000  -1.25
Nb  0.500  0.500  0.500  2.79
Hg  0.000  0.500  0.000  -0.04
Hg  0.000  0.000  0.500  -0.04
Hg  0.500  0.000  0.000  0.00

---

Listing total DFT energy (no corrections) for the structures above in their given order: -54.78, -29.84, -26.74, -21.73, -35.52, -15.52 eV per cell.